(1)
VASP calculation (PBE) on an optimized crystal structure of Nd6Ge3C.

Summary:
- M_tot: 0.000 μB/f.u.
- Total DFT energy (no corrections): -5.6235 eV/atom
- Energy of formation from the pure elements: -10.50 kcal/mol of atoms

Geometry as POSCAR:
```
Nd6Ge3C
1.0
6.299 3.636 4.287
-6.299 3.636 4.287
0.000 -7.273 4.287
Nd Ge C
12 6 2
Direct
0.043 0.923 0.698
0.077 0.302 0.957
0.207 0.556 0.431
0.302 0.957 0.077
0.431 0.207 0.556
0.444 0.569 0.793
0.556 0.431 0.207
0.569 0.793 0.444
0.698 0.043 0.923
0.793 0.444 0.569
0.923 0.698 0.043
0.957 0.077 0.302
0.106 0.278 0.606
0.278 0.606 0.106
0.394 0.894 0.722
0.606 0.106 0.278
0.722 0.394 0.894
0.894 0.722 0.394
0.000 0.000 0.000
0.500 0.500 0.500
```



(2)
VASP calculation (PBE) on an optimized crystal structure of Nd2GeC.

Summary:
- M_tot: 0.000 μB/f.u.
- Total DFT energy (no corrections): -5.7795 eV/atom
- Energy of formation from the pure elements: 1.49 kcal/mol of atoms

Geometry as POSCAR:
```
Nd2GeC
1.0
1.824 1.053 8.984
-1.824 1.053 8.984
0.000 -2.106 8.984
Nd Ge C
2 1 1
Direct
0.114 0.114 0.114
0.886 0.886 0.886
0.000 0.000 0.000
0.500 0.500 0.500
```



(3)
VASP calculation (PBE) on an optimized crystal structure of Nd3Ge2Ru3C.

Summary:
- M_tot: 0.000 μB/f.u.
- Total DFT energy (no corrections): -6.9243 eV/atom
- Energy of formation from the pure elements: -4.43 kcal/mol of atoms

Geometry as POSCAR:
```
Nd3Ge2Ru3C
1.0
7.317 0.000 0.000
-3.659 6.337 0.000
0.000 0.000 3.669
Nd Ge Ru C
3 2 3 1
Direct
0.000 0.628 0.000
0.372 0.372 0.000
0.628 0.000 0.000
0.333 0.667 0.500
0.667 0.333 0.500
0.000 0.214 0.500
0.214 0.000 0.500
0.786 0.786 0.500
0.000 0.000 0.000
```



(4)
VASP calculation (PBE) on an optimized crystal structure of NdTc2Ge2C.

Summary:
- M_tot: 0.000 μB/f.u.
- Total DFT energy (no corrections): -7.6979 eV/atom
- Energy of formation from the pure elements: -8.57 kcal/mol of atoms

Geometry as POSCAR:
```
NdTc2Ge2C
1.0
4.198 0.000 0.000
0.000 4.198 0.000
0.000 0.000 5.526
Nd Tc Ge C
1 2 2 1
Direct
0.000 0.000 0.000
0.000 0.500 0.500
0.500 0.000 0.500
0.500 0.500 0.223
0.500 0.500 0.777
0.000 0.000 0.500
```



(5)
VASP calculation (PBE) on an optimized crystal structure of Nd2Zr2Ge2C.

Summary:
- M_tot: 1.071 μB/f.u.
- Total DFT energy (no corrections): -7.1838 eV/atom
- Energy of formation from the pure elements: -17.12 kcal/mol of atoms

Geometry as POSCAR:
```
Nd2Zr2Ge2C
1.0
-2.233 2.233 7.928
2.233 -2.233 7.928
2.233 2.233 -7.928
Nd Zr Ge C
2 2 2 1
Direct
0.168 0.168 0.000
0.832 0.832 0.000
0.000 0.500 0.500
0.500 0.000 0.500
0.373 0.373 0.000
0.627 0.627 0.000
0.000 0.000 0.000
```



(6)
VASP calculation (PBE) on an optimized crystal structure of Ni3GeC.

Summary:
- M_tot: 0.000 μB/f.u.
- Total DFT energy (no corrections): -6.1469 eV/atom
- Energy of formation from the pure elements: 2.08 kcal/mol of atoms

Geometry as POSCAR:
```
Ni3GeC
1.0
3.809 0.000 0.000
0.000 3.809 0.000
0.000 0.000 3.809
Ni Ge C
3 1 1
Direct
0.000 0.000 0.500
0.000 0.500 0.000
0.500 0.000 0.000
0.500 0.500 0.500
0.000 0.000 0.000
```



(7)
VASP calculation (PBE) on an optimized crystal structure of Ni2GeC.

Summary:
- M_tot: 0.000 μB/f.u.
- Total DFT energy (no corrections): -5.9071 eV/atom
- Energy above the most stable polymorph in this dataset: 0 meV per atom
- Energy of formation from the pure elements: 10.24 kcal/mol of atoms

Geometry as POSCAR:
```
Ni2GeC
1.0
-2.286 2.286 5.173
2.286 -2.286 5.173
2.286 2.286 -5.173
Ni Ge C
4 2 2
Direct
0.018 0.625 0.893
0.375 0.268 0.393
0.732 0.125 0.107
0.875 0.982 0.607
0.250 0.750 0.500
0.500 0.500 0.000
0.000 0.000 0.000
0.750 0.250 0.500
```



(8)
VASP calculation (PBE) on an optimized crystal structure of Ni2GeC.

Summary:
- M_tot: 0.000 μB/f.u.
- Total DFT energy (no corrections): -5.4561 eV/atom
- Energy above the most stable polymorph in this dataset: 451 meV per atom
- Energy of formation from the pure elements: 20.64 kcal/mol of atoms

Geometry as POSCAR:
```
Ni2GeC
1.0
0.000 2.782 2.782
2.782 0.000 2.782
2.782 2.782 0.000
Ni Ge C
2 1 1
Direct
0.250 0.250 0.250
0.750 0.750 0.750
0.000 0.000 0.000
0.500 0.500 0.500
```



(9)
VASP calculation (PBE) on an optimized crystal structure of Ni3GeC.

Summary:
- M_tot: 0.000 μB/f.u.
- Total DFT energy (no corrections): -4.4260 eV/atom
- Energy of formation from the pure elements: 41.76 kcal/mol of atoms

Geometry as POSCAR:
```
Ni3GeC
1.0
4.286 0.000 0.000
0.000 4.286 0.000
0.000 0.000 4.286
Ni Ge C
3 1 1
Direct
0.000 0.000 0.500
0.000 0.500 0.000
0.500 0.000 0.000
0.000 0.000 0.000
0.500 0.500 0.500
```



(10)
VASP calculation (PBE) on an optimized crystal structure of Pa2NiGeC.

Summary:
- M_tot: 0.000 μB/f.u.
- Total DFT energy (no corrections): -8.2086 eV/atom
- Energy of formation from the pure elements: -11.20 kcal/mol of atoms

Geometry as POSCAR:
```
Pa2NiGeC
1.0
6.261 0.000 0.000
0.000 3.873 0.000
-2.325 0.000 7.475
Pa Ni Ge C
4 2 2 2
Direct
0.216 0.250 0.384
0.231 0.250 0.969
0.769 0.750 0.031
0.784 0.750 0.616
0.466 0.750 0.250
0.534 0.250 0.750
0.294 0.750 0.690
0.706 0.250 0.310
0.147 0.750 0.164
0.853 0.250 0.836
```



(11)
VASP calculation (PBE) on an optimized crystal structure of PuNi2GeC.

Summary:
- M_tot: 5.232 μB/f.u.
- Total DFT energy (no corrections): -8.2246 eV/atom
- Energy of formation from the pure elements: -6.40 kcal/mol of atoms

Geometry as POSCAR:
```
PuNi2GeC
1.0
1.847 -5.512 0.000
1.847 5.512 0.000
0.000 0.000 6.853
Pu Ni Ge C
2 4 2 2
Direct
0.038 0.962 0.750
0.962 0.038 0.250
0.336 0.664 0.556
0.336 0.664 0.944
0.664 0.336 0.056
0.664 0.336 0.444
0.234 0.766 0.250
0.766 0.234 0.750
0.500 0.500 0.000
0.500 0.500 0.500
```



(12)
VASP calculation (PBE) on an optimized crystal structure of SiNi2GeC.

Summary:
- M_tot: 0.000 μB/f.u.
- Total DFT energy (no corrections): -5.2801 eV/atom
- Energy above the most stable polymorph in this dataset: 465 meV per atom
- E_form (uncorrected): 20.42 kcal/mol of atoms

Geometry as POSCAR:
```
SiNi2GeC
1.0
4.432 0.000 0.000
0.000 4.432 0.000
0.000 0.000 3.539
Si Ni Ge C
1 2 1 1
Direct
0.000 0.000 0.000
0.000 0.500 0.000
0.500 0.000 0.000
0.500 0.500 0.500
0.000 0.000 0.500
```



(13)
VASP calculation (PBE) on an optimized crystal structure of SiNi2GeC.

Summary:
- M_tot: 0.000 μB/f.u.
- Total DFT energy (no corrections): -5.7456 eV/atom
- Energy above the most stable polymorph in this dataset: 0 meV per atom
- E_form (uncorrected): 9.68 kcal/mol of atoms

Geometry as POSCAR:
```
SiNi2GeC
1.0
4.005 0.000 0.000
0.000 4.005 0.000
0.000 0.000 3.724
Si Ni Ge C
1 2 1 1
Direct
0.000 0.000 0.000
0.000 0.500 0.500
0.500 0.000 0.500
0.500 0.500 0.000
0.000 0.000 0.500
```



(14)
VASP calculation (PBE) on an optimized crystal structure of Si2NiGeC.

Summary:
- M_tot: 0.000 μB/f.u.
- Total DFT energy (no corrections): -4.3597 eV/atom
- E_form (uncorrected): 39.99 kcal/mol of atoms

Geometry as POSCAR:
```
Si2NiGeC
1.0
4.865 0.000 0.000
0.000 4.865 0.000
0.000 0.000 3.640
Si Ni Ge C
2 1 1 1
Direct
0.000 0.500 0.000
0.500 0.000 0.000
0.000 0.000 0.500
0.500 0.500 0.000
0.500 0.500 0.500
```



(15)
VASP calculation (PBE) on an optimized crystal structure of Np2Tc2Ge2C.

Summary:
- M_tot: 1.273 μB/f.u.
- Total DFT energy (no corrections): -9.4080 eV/atom
- Energy of formation from the pure elements: -2.58 kcal/mol of atoms

Geometry as POSCAR:
```
Np2Tc2Ge2C
1.0
5.985 -1.679 0.000
5.985 1.679 0.000
-1.763 0.000 5.530
Np Tc Ge C
2 2 2 1
Direct
0.002 0.002 0.204
0.998 0.998 0.796
0.319 0.319 0.405
0.681 0.681 0.595
0.312 0.312 0.883
0.688 0.688 0.117
0.500 0.500 0.500
```



(16)
VASP calculation (PBE) on an optimized crystal structure of GeCO3.

Summary:
- M_tot: 0.000 μB/f.u.
- Total DFT energy (no corrections): -5.0842 eV/atom
- E_form (uncorrected): 15.20 kcal/mol of atoms

Geometry as POSCAR:
```
GeCO3
1.0
3.651 0.000 0.000
0.000 3.651 0.000
0.000 0.000 3.651
Ge C O
1 1 3
Direct
0.000 0.000 0.000
0.500 0.500 0.500
0.000 0.000 0.500
0.000 0.500 0.000
0.500 0.000 0.000
```



(17)
VASP calculation (PBE) on an optimized crystal structure of GeCO2.

Summary:
- M_tot: 0.000 μB/f.u.
- Total DFT energy (no corrections): -5.3512 eV/atom
- Energy above the most stable polymorph in this dataset: 0 meV per atom
- E_form (uncorrected): 13.56 kcal/mol of atoms

Geometry as POSCAR:
```
GeCO2
1.0
1.440 0.831 6.219
-1.440 0.831 6.219
0.000 -1.663 6.219
Ge C O
1 1 2
Direct
0.000 0.000 0.000
0.500 0.500 0.500
0.388 0.388 0.388
0.612 0.612 0.612
```



(18)
VASP calculation (PBE) on an optimized crystal structure of GeCO2.

Summary:
- M_tot: 0.000 μB/f.u.
- Total DFT energy (no corrections): -4.6826 eV/atom
- Energy above the most stable polymorph in this dataset: 669 meV per atom
- E_form (uncorrected): 28.98 kcal/mol of atoms

Geometry as POSCAR:
```
GeCO2
1.0
0.000 2.677 2.677
2.677 0.000 2.677
2.677 2.677 0.000
Ge C O
1 1 2
Direct
0.000 0.000 0.000
0.500 0.500 0.500
0.250 0.250 0.250
0.750 0.750 0.750
```



(19)
VASP calculation (PBE) on an optimized crystal structure of GeCO3.

Summary:
- M_tot: 0.000 μB/f.u.
- Total DFT energy (no corrections): -5.2834 eV/atom
- E_form (uncorrected): 10.60 kcal/mol of atoms

Geometry as POSCAR:
```
GeCO3
1.0
3.400 0.000 0.000
0.000 3.400 0.000
0.000 0.000 3.400
Ge C O
1 1 3
Direct
0.000 0.000 0.000
0.500 0.500 0.500
0.000 0.500 0.500
0.500 0.000 0.500
0.500 0.500 0.000
```



(20)
VASP calculation (PBE) on an optimized crystal structure of GeC2O.

Summary:
- M_tot: 0.000 μB/f.u.
- Total DFT energy (no corrections): -5.3907 eV/atom
- Energy above the most stable polymorph in this dataset: 0 meV per atom
- E_form (uncorrected): 37.25 kcal/mol of atoms

Geometry as POSCAR:
```
GeC2O
1.0
-2.149 2.149 4.675
2.149 -2.149 4.675
2.149 2.149 -4.675
Ge C O
2 4 2
Direct
0.000 0.000 0.000
0.750 0.250 0.500
0.146 0.625 0.021
0.375 0.396 0.521
0.604 0.125 0.979
0.875 0.854 0.479
0.250 0.750 0.500
0.500 0.500 0.000
```